Record 1
Below is a relaxed structure of Ho3BiP2, with properties calculated at the GGA-PBE level.

Results
**Total DFT energy (no corrections)**: -5.692 eV/atom
**Symmetry**: Cmcm (63)
**E_form**: -0.953 eV/atom
**Magnetic moment**: 0.000 μB per atom

Unit cell a=4.9523 b=6.6753 c=9.7591 alpha=90.00 beta=90.00 gamma=111.77
With the nearest neighbours (Å) after each atom.
Fractional positions:
1 Ho 0.6237 0.2474 0.0471  3 P 2.74-2.95
2 Ho 0.0934 0.1867 0.7500  4 P 2.60-2.70
3 Ho 0.6237 0.2474 0.4529  3 P 2.74-2.95
4 Ho 0.9066 0.8133 0.2500  4 P 2.60-2.70
5 Ho 0.3763 0.7526 0.9529  3 P 2.74-2.95
6 Ho 0.3763 0.7526 0.5471  3 P 2.74-2.95
7 Bi 0.2190 0.4381 0.2500  1 P 3.12, 8 Ho 3.38-3.49
8 Bi 0.7810 0.5619 0.7500  1 P 3.12, 8 Ho 3.38-3.49
9 P 0.0000 0.0000 0.0000  6 Ho 2.70-2.95
10 P 0.0000 0.0000 0.5000  6 Ho 2.70-2.95
11 P 0.4710 0.9421 0.2500  4 Ho 2.60-2.74
12 P 0.5290 0.0579 0.7500  4 Ho 2.60-2.74

Record 2
Below is a relaxed structure of ErGe2Te4, with properties calculated at the GGA-PBE level.

Results
**Total DFT energy (no corrections)**: -4.223 eV/atom
**Raw formation energy**: -0.457 eV per atom
**Symmetry**: Cmcm (63)
**Magnetic moment**: 0.000 μB per atom

Unit cell a=4.2054 b=7.2987 c=13.8357 alpha=90.00 beta=90.00 gamma=106.74
With the nearest neighbours (Å) after each atom.
Fractional positions:
1 Er 0.6040 0.2079 0.7500  6 Te 3.03-3.17
2 Er 0.3960 0.7921 0.2500  6 Te 3.03-3.17
3 Ge 0.1329 0.2658 0.4401  6 Te 2.86-3.06
4 Ge 0.8671 0.7342 0.9401  6 Te 2.86-3.06
5 Ge 0.1329 0.2658 0.0599  6 Te 2.86-3.06
6 Ge 0.8671 0.7342 0.5599  6 Te 2.86-3.06
7 Te 0.7777 0.5553 0.1275  3 Ge 2.88-3.06, 2 Er 3.17
8 Te 0.7777 0.5553 0.3725  3 Ge 2.88-3.06, 2 Er 3.17
9 Te 0.2223 0.4447 0.8725  3 Ge 2.88-3.06, 2 Er 3.17
10 Te 0.2223 0.4447 0.6275  3 Ge 2.88-3.06, 2 Er 3.17
11 Te 0.9483 0.8966 0.7500  2 Ge 2.86, 2 Er 3.03
12 Te 0.0517 0.1034 0.2500  2 Ge 2.86, 2 Er 3.03
13 Te 0.5000 0.0000 0.0000  4 Ge 2.93
14 Te 0.5000 0.0000 0.5000  4 Ge 2.93

Record 3
Below is a relaxed structure of MnReNi2, with properties calculated at the GGA-PBE level.

Results
**ΔE to the lowest computed polymorph**: 148 meV per atom
**Total DFT energy (no corrections)**: -8.142 eV/atom
**Symmetry**: P4/mmm (123)
**E_form**: 0.153 eV/atom
**Magnetic moment**: 0.683 μB per atom

Unit cell a=3.1205 b=3.1205 c=5.1168 alpha=90.00 beta=90.00 gamma=90.00
With the nearest neighbours (Å) after each atom.
Fractional positions:
1 Mn 0.5000 0.5000 0.7500  8 Ni 2.54, 2 Re 2.56
2 Ni 0.0000 0.0000 0.9974  2 Ni 2.53-2.59, 4 Mn 2.54, 4 Re 2.56
3 Ni 0.0000 0.0000 0.5026  2 Ni 2.53-2.59, 4 Mn 2.54, 4 Re 2.56
4 Re 0.5000 0.5000 0.2500  8 Ni 2.56, 2 Mn 2.56

Record 4
Below is a relaxed structure of InSbI2O, with properties calculated at the GGA-PBE level.

Results
**ΔE to the lowest computed polymorph**: 0 meV per atom
**Total DFT energy (no corrections)**: -3.448 eV/atom
**Raw formation energy**: -0.464 eV per atom
**Symmetry**: P4/mmm (123)
**Magnetic moment**: 0.000 μB per atom

Unit cell a=6.1517 b=6.1517 c=4.1718 alpha=90.00 beta=90.00 gamma=90.00
With the nearest neighbours (Å) after each atom.
Fractional positions:
1 I 0.0000 0.5000 0.0000  2 Sb 3.08
2 I 0.5000 0.0000 0.0000  2 Sb 3.08
3 Sb 0.0000 0.0000 0.0000  2 O 2.09
4 O 0.0000 0.0000 0.5000  2 Sb 2.09
5 In 0.5000 0.5000 0.5000  8 I 3.72

Record 5
Below is a relaxed structure of Ca2SBr, with properties calculated at the GGA-PBE level.

Results
**ΔE to the lowest computed polymorph**: 310 meV per atom
**Total DFT energy (no corrections)**: -3.862 eV/atom
**Raw formation energy**: -1.411 eV per atom
**Symmetry**: Fm-3m (225)
**Magnetic moment**: 0.000 μB per atom

Unit cell a=5.0686 b=5.0686 c=5.0686 alpha=60.00 beta=60.00 gamma=60.00
With the nearest neighbours (Å) after each atom.
Fractional positions:
1 Ca 0.2500 0.2500 0.2500  4 Br 3.10, 4 S 3.10
2 Ca 0.7500 0.7500 0.7500  4 S 3.10, 4 Br 3.10
3 S 0.0000 0.0000 0.0000  8 Ca 3.10
4 Br 0.5000 0.5000 0.5000  8 Ca 3.10

Record 6
Below is a relaxed structure of Nd19Ho6Er4, with properties calculated at the GGA-PBE level.

Results
**Total DFT energy (no corrections)**: -4.338 eV/atom
**Symmetry**: I23 (197)
**E_form**: 0.362 eV/atom
**Magnetic moment**: 0.000 μB per atom

Unit cell a=10.9796 b=10.9796 c=10.9796 alpha=109.47 beta=109.47 gamma=109.47
With the nearest neighbours (Å) after each atom.
Fractional positions:
1 Nd 0.7396 0.0000 0.7396  5 Nd 3.30-3.65, 2 Er 3.38, 2 Ho 3.43
2 Nd 0.2604 0.0000 0.2604  5 Nd 3.30-3.65, 2 Er 3.38, 2 Ho 3.43
3 Nd 0.2604 0.2604 0.0000  5 Nd 3.30-3.65, 2 Er 3.38, 2 Ho 3.43
4 Nd 0.7396 0.7396 0.0000  5 Nd 3.30-3.65, 2 Er 3.38, 2 Ho 3.43
5 Nd 0.0000 0.7396 0.7396  5 Nd 3.30-3.65, 2 Er 3.38, 2 Ho 3.43
6 Nd 0.0000 0.2604 0.2604  5 Nd 3.30-3.65, 2 Er 3.38, 2 Ho 3.43
7 Nd 0.0000 0.0000 0.0000  6 Nd 3.30
8 Nd 0.1991 0.2185 0.5429  1 Ho 3.22, 2 Er 3.39-3.49, 1 Nd 3.42
9 Nd 0.8009 0.3438 0.0194  1 Ho 3.22, 2 Er 3.39-3.49, 1 Nd 3.42
10 Nd 0.6756 0.6562 0.4571  1 Ho 3.22, 2 Er 3.39-3.49, 1 Nd 3.42
11 Nd 0.0194 0.8009 0.3438  1 Ho 3.22, 2 Er 3.39-3.49, 1 Nd 3.42
12 Nd 0.3244 0.7815 0.9806  1 Ho 3.22, 2 Er 3.39-3.49, 1 Nd 3.42
13 Nd 0.5429 0.1991 0.2185  1 Ho 3.22, 2 Er 3.39-3.49, 1 Nd 3.42
14 Nd 0.9806 0.3244 0.7815  1 Ho 3.22, 2 Er 3.39-3.49, 1 Nd 3.42
15 Nd 0.4571 0.6756 0.6562  1 Ho 3.22, 2 Er 3.39-3.49, 1 Nd 3.42
16 Nd 0.7815 0.9806 0.3244  1 Ho 3.22, 2 Er 3.39-3.49, 1 Nd 3.42
17 Nd 0.3438 0.0194 0.8009  1 Ho 3.22, 2 Er 3.39-3.49, 1 Nd 3.42
18 Nd 0.2185 0.5429 0.1991  1 Ho 3.22, 2 Er 3.39-3.49, 1 Nd 3.42
19 Nd 0.6562 0.4571 0.6756  1 Ho 3.22, 2 Er 3.39-3.49, 1 Nd 3.42
20 Ho 0.3748 0.5000 0.8748  1 Ho 3.17, 4 Nd 3.22-3.43
21 Ho 0.6252 0.5000 0.1252  1 Ho 3.17, 4 Nd 3.22-3.43
22 Ho 0.1252 0.6252 0.5000  1 Ho 3.17, 4 Nd 3.22-3.43
23 Ho 0.8748 0.3748 0.5000  1 Ho 3.17, 4 Nd 3.22-3.43
24 Ho 0.5000 0.8748 0.3748  1 Ho 3.17, 4 Nd 3.22-3.43
25 Ho 0.5000 0.1252 0.6252  1 Ho 3.17, 4 Nd 3.22-3.43
26 Er 0.0000 0.0000 0.6406  9 Nd 3.38-3.49
27 Er 0.0000 0.6406 0.0000  9 Nd 3.38-3.49
28 Er 0.3594 0.3594 0.3594  9 Nd 3.38-3.49
29 Er 0.6406 0.0000 0.0000  9 Nd 3.38-3.49

Record 7
Below is a relaxed structure of RbPbI2, with properties calculated at the GGA-PBE level.

Results
**ΔE to the lowest computed polymorph**: 101 meV per atom
**Total DFT energy (no corrections)**: -2.485 eV/atom
**Raw formation energy**: -0.541 eV per atom
**Symmetry**: R-3m (166)
**Magnetic moment**: 0.000 μB per atom

Unit cell a=5.0571 b=5.0571 c=10.8947 alpha=76.58 beta=76.58 gamma=60.00
With the nearest neighbours (Å) after each atom.
Fractional positions:
1 Pb 0.5000 0.5000 0.5000  6 I 3.35
2 I 0.1146 0.1146 0.6561  3 Pb 3.35, 1 Rb 3.61
3 I 0.8854 0.8854 0.3439  3 Pb 3.35, 1 Rb 3.61
4 Rb 0.0000 0.0000 0.0000  2 I 3.61

Record 8
Below is a relaxed structure of Tb2Pm4Nd2Sm, with properties calculated at the GGA-PBE level.

Results
**Total DFT energy (no corrections)**: -4.719 eV/atom
**Symmetry**: C2/m (12)
**E_form**: 0.005 eV/atom
**Magnetic moment**: 0.000 μB per atom

Unit cell a=3.6679 b=9.6868 c=9.7503 alpha=115.20 beta=90.00 gamma=100.91
With the nearest neighbours (Å) after each atom.
Fractional positions:
1 Tb 0.8520 0.7041 0.3335  3 Nd 3.60-3.62, 7 Pm 3.60-3.66, 2 Tb 3.67
2 Tb 0.1480 0.2959 0.6665  3 Nd 3.60-3.62, 7 Pm 3.60-3.66, 2 Tb 3.67
3 Pm 0.8142 0.6283 0.6666  6 Pm 3.61-3.68, 3 Tb 3.62-3.65, 1 Sm 3.62, 2 Nd 3.62
4 Pm 0.1858 0.3717 0.3334  6 Pm 3.61-3.68, 3 Tb 3.62-3.65, 1 Sm 3.62, 2 Nd 3.62
5 Pm 0.5185 0.0370 0.3347  5 Pm 3.59-3.68, 4 Tb 3.60-3.66, 1 Nd 3.61, 2 Sm 3.62
6 Pm 0.4815 0.9630 0.6653  5 Pm 3.59-3.68, 4 Tb 3.60-3.66, 1 Nd 3.61, 2 Sm 3.62
7 Nd 0.3336 0.6671 0.0015  3 Tb 3.60-3.62, 3 Pm 3.61-3.62, 4 Nd 3.66-3.67, 2 Sm 3.66
8 Nd 0.6664 0.3329 0.9985  3 Tb 3.60-3.62, 3 Pm 3.61-3.62, 4 Nd 3.66-3.67, 2 Sm 3.66
9 Sm 0.0000 0.0000 0.0000  6 Pm 3.62, 4 Nd 3.66, 2 Sm 3.67

Record 9
Below is a relaxed structure of InSb2Se5, with properties calculated at the GGA-PBE level.

Results
**Total DFT energy (no corrections)**: -3.743 eV/atom
**Raw formation energy**: -0.192 eV per atom
**Symmetry**: Cmcm (63)
**Magnetic moment**: 0.000 μB per atom

Unit cell a=5.7145 b=7.1388 c=13.0988 alpha=90.00 beta=90.00 gamma=113.59
With the nearest neighbours (Å) after each atom.
Fractional positions:
1 In 0.7644 0.5288 0.7500  6 Se 2.72-2.90
2 In 0.2356 0.4712 0.2500  6 Se 2.72-2.90
3 Sb 0.8557 0.7115 0.4518  6 Se 2.70-2.93
4 Sb 0.8557 0.7115 0.0482  6 Se 2.70-2.93
5 Sb 0.1443 0.2885 0.5482  6 Se 2.70-2.93
6 Sb 0.1443 0.2885 0.9518  6 Se 2.70-2.93
7 Se 0.9483 0.8965 0.8637  2 Sb 2.70-2.81, 1 In 2.83, 1 Se 2.98
8 Se 0.9483 0.8965 0.6363  2 Sb 2.70-2.81, 1 In 2.83, 1 Se 2.98
9 Se 0.3356 0.6713 0.4319  1 In 2.72, 3 Sb 2.88-2.93
10 Se 0.3356 0.6713 0.0681  1 In 2.72, 3 Sb 2.88-2.93
11 Se 0.7739 0.5477 0.2500  2 Sb 2.85, 2 In 2.90
12 Se 0.2261 0.4523 0.7500  2 Sb 2.85, 2 In 2.90
13 Se 0.6644 0.3287 0.5681  1 In 2.72, 3 Sb 2.88-2.93
14 Se 0.6644 0.3287 0.9319  1 In 2.72, 3 Sb 2.88-2.93
15 Se 0.0517 0.1035 0.1363  2 Sb 2.70-2.81, 1 In 2.83, 1 Se 2.98
16 Se 0.0517 0.1035 0.3637  2 Sb 2.70-2.81, 1 In 2.83, 1 Se 2.98

Record 10
Below is a relaxed structure of Y6Tm4Zr, with properties calculated at the GGA-PBE level.

Results
**Total DFT energy (no corrections)**: -5.777 eV/atom
**Symmetry**: P4/mnc (128)
**E_form**: 0.152 eV/atom
**Magnetic moment**: 0.117 μB per atom

Unit cell a=8.7610 b=8.7610 c=8.7944 alpha=90.00 beta=90.00 gamma=90.00
With the nearest neighbours (Å) after each atom.
Fractional positions:
1 Y 0.3438 0.8490 0.5000  1 Zr 3.29, 6 Tm 3.33-3.43
2 Y 0.8438 0.6510 0.0000  1 Zr 3.29, 6 Tm 3.33-3.43
3 Y 0.6510 0.1562 0.0000  1 Zr 3.29, 6 Tm 3.33-3.43
4 Y 0.1510 0.3438 0.5000  1 Zr 3.29, 6 Tm 3.33-3.43
5 Y 0.0000 0.0000 0.1757  1 Zr 2.85, 1 Y 3.09
6 Y 0.5000 0.5000 0.3243  1 Zr 2.85, 1 Y 3.09
7 Y 0.3490 0.8438 0.0000  1 Zr 3.29, 6 Tm 3.33-3.43
8 Y 0.0000 0.0000 0.8243  1 Zr 2.85, 1 Y 3.09
9 Y 0.1562 0.3490 0.0000  1 Zr 3.29, 6 Tm 3.33-3.43
10 Y 0.5000 0.5000 0.6757  1 Zr 2.85, 1 Y 3.09
11 Y 0.8490 0.6562 0.5000  1 Zr 3.29, 6 Tm 3.33-3.43
12 Y 0.6562 0.1510 0.5000  1 Zr 3.29, 6 Tm 3.33-3.43
13 Tm 0.3555 0.1445 0.2500  8 Y 3.33-3.43, 1 Tm 3.58
14 Tm 0.1445 0.6445 0.7500  8 Y 3.33-3.43, 1 Tm 3.58
15 Tm 0.6445 0.8555 0.7500  8 Y 3.33-3.43, 1 Tm 3.58
16 Tm 0.8555 0.3555 0.7500  8 Y 3.33-3.43, 1 Tm 3.58
17 Tm 0.3555 0.1445 0.7500  8 Y 3.33-3.43, 1 Tm 3.58
18 Tm 0.1445 0.6445 0.2500  8 Y 3.33-3.43, 1 Tm 3.58
19 Tm 0.8555 0.3555 0.2500  8 Y 3.33-3.43, 1 Tm 3.58
20 Tm 0.6445 0.8555 0.2500  8 Y 3.33-3.43, 1 Tm 3.58
21 Zr 0.5000 0.5000 0.0000  2 Y 2.85
22 Zr 0.0000 0.0000 0.5000  2 Y 2.85

Record 11
Below is a relaxed structure of Sr2LiTl, with properties calculated at the GGA-PBE level.

Results
**ΔE to the lowest computed polymorph**: 0 meV per atom
**Total DFT energy (no corrections)**: -2.153 eV/atom
**Symmetry**: Fm-3m (225)
**E_form**: -0.242 eV/atom
**Magnetic moment**: 0.000 μB per atom

Unit cell a=5.8079 b=5.8079 c=5.8079 alpha=60.00 beta=60.00 gamma=60.00
With the nearest neighbours (Å) after each atom.
Fractional positions:
1 Sr 0.2500 0.2500 0.2500  4 Tl 3.56, 4 Li 3.56
2 Sr 0.7500 0.7500 0.7500  4 Li 3.56, 4 Tl 3.56
3 Tl 0.5000 0.5000 0.5000  8 Sr 3.56
4 Li 0.0000 0.0000 0.0000  8 Sr 3.56

Record 12
Below is a relaxed structure of LiY2PaP4, with properties calculated at the GGA-PBE level.

Results
**Total DFT energy (no corrections)**: -6.938 eV/atom
**Symmetry**: P2/m (10)
**E_form**: -1.191 eV/atom
**Magnetic moment**: 0.000 μB per atom

Unit cell a=4.0369 b=6.7556 c=6.9025 alpha=108.52 beta=90.00 gamma=90.00
With the nearest neighbours (Å) after each atom.
Fractional positions:
1 Li 0.5000 0.5000 0.0000  6 P 2.74-2.85
2 Y 0.5000 0.0000 0.5000  6 P 2.81-2.82
3 Y 0.0000 0.5000 0.5000  6 P 2.85-2.87
4 Pa 0.0000 0.0000 0.0000  6 P 2.69-2.81
5 P 0.5000 0.2475 0.2415  1 Li 2.74, 3 Y 2.81-2.87, 2 Pa 2.81
6 P 0.5000 0.7525 0.7585  1 Li 2.74, 3 Y 2.81-2.87, 2 Pa 2.81
7 P 0.0000 0.2397 0.7545  1 Pa 2.69, 3 Y 2.82-2.85, 2 Li 2.85
8 P 0.0000 0.7603 0.2455  1 Pa 2.69, 3 Y 2.82-2.85, 2 Li 2.85

- Which formula does entry 2 have?
  ErGe2Te4

- What is the formula in the tenth record?
  Y6Tm4Zr

- Which of these has the highest total DFT energy (no corrections)?
  Sr2LiTl